Record 1
A PBEsol-optimized structure of Ta2RuPt, computed with meta-GGA SCAN.

a = 2.859 Å, b = 2.859 Å, c = 7.682 Å
α = 90.00°, β = 90.00°, γ = 90.00°
Positions (direct):
Ta1 0.000 0.000 0.236
Ta2 0.000 0.000 0.764
Ru1 0.500 0.500 0.000
Pt1 0.500 0.500 0.500

Values from the calculation:
Symmetry: P4/mmm
DFT formation energy (eV/atom): -0.531
Density of states at the Fermi level (states/eV per cell): 2.68


Record 2
A PBEsol-optimized structure of Ta2RuPt, computed with meta-GGA SCAN.

a = 4.039 Å, b = 4.039 Å, c = 7.677 Å
α = 90.00°, β = 90.00°, γ = 90.00°
Positions (direct):
Ta1 0.000 0.500 0.250
Ta2 0.000 0.500 0.750
Ta3 0.500 0.000 0.250
Ta4 0.500 0.000 0.750
Ru1 0.000 0.000 0.000
Ru2 0.500 0.500 0.500
Pt1 0.000 0.000 0.500
Pt2 0.500 0.500 0.000

Values from the calculation:
Symmetry: I4/mmm
DFT formation energy (eV/atom): -0.609
Density of states at the Fermi level (states/eV per cell): 4.89


Record 3
A PBEsol-optimized structure of TaRu2Pt, computed with meta-GGA SCAN.

a = 2.750 Å, b = 2.750 Å, c = 7.810 Å
α = 90.00°, β = 90.00°, γ = 90.00°
Positions (direct):
Ta1 0.000 0.000 0.000
Ru1 0.500 0.500 0.255
Ru2 0.500 0.500 0.745
Pt1 0.000 0.000 0.500

Values from the calculation:
Symmetry: P4/mmm
Energy above the lowest structure with this stoichiometry (eV per formula unit): 1.97
DFT formation energy (eV/atom): -0.079
Density of states at the Fermi level (states/eV per cell): 4.06


Record 4
A PBEsol-optimized structure of Ta2RuPt, computed with meta-GGA SCAN.

a = 5.696 Å, b = 7.685 Å, c = 2.863 Å
α = 90.00°, β = 90.00°, γ = 90.00°
Positions (direct):
Ta1 0.250 0.250 0.000
Ta2 0.250 0.750 0.000
Ta3 0.750 0.250 0.000
Ta4 0.750 0.750 0.000
Ru1 0.000 0.000 0.500
Ru2 0.500 0.500 0.500
Pt1 0.000 0.500 0.500
Pt2 0.500 0.000 0.500

Values from the calculation:
Symmetry: Cmmm
DFT formation energy (eV/atom): -0.546
Density of states at the Fermi level (states/eV per cell): 5.90